{"formula": "GaTc3Cl", "functional": "PBEsol", "state": "optimized geometry", "raw_formation_energy_ev_per_atom": 1.00, "n_ef_per_ev_cell": 5.592, "dft_energy_ev_per_fu": -34.15, "sg": "Pm-3m", "lattice": [[4.2716, 0.0000, 0.0000], [0.0000, 4.2716, 0.0000], [0.0000, 0.0000, 4.2716]], "species": ["Tc", "Tc", "Tc", "Ga", "Cl"], "frac_coords": [[0.0000, 0.5000, 0.0000], [0.0000, 0.0000, 0.5000], [0.5000, 0.0000, 0.0000], [0.5000, 0.5000, 0.5000], [0.0000, 0.0000, 0.0000]]}

{"formula": "NiIrPt3", "functional": "PBEsol", "state": "optimized geometry", "n_ef_per_ev_cell": 13.122, "delta_e_f_ev_per_atom": 1.88, "dft_energy_ev_per_fu": -27.48, "sg": "Pm-3m", "lattice": [[-4.3001, 1.8659, -0.6995], [-1.9300, -3.4857, 2.5665], [0.4960, 2.6135, 3.9225]], "species": ["Ni", "Ir", "Pt", "Pt", "Pt"], "frac_coords": [[0.5000, 0.5000, 0.5000], [0.0000, 0.0000, 0.0000], [0.0000, 0.5000, 0.0000], [0.0000, 0.0000, 0.5000], [0.5000, 0.0000, 0.0000]]}

{"formula": "BeHgW2", "functional": "PBEsol", "state": "optimized geometry", "n_ef_per_ev_cell": 1.671, "delta_e_f_ev_per_atom": 0.57, "dft_energy_ev_per_fu": -29.91, "sg": "Imm2", "lattice": [[3.2890, 0.0000, 0.0000], [0.0000, 4.4498, 0.0000], [-1.6445, -2.2249, 4.0478]], "species": ["Be", "Hg", "W", "W"], "frac_coords": [[0.5043, 0.5043, 0.0085], [0.2231, 0.7231, 0.4461], [0.0051, 0.0051, 0.0103], [0.7675, 0.2675, 0.5351]]}